Entry from the Alexandria database: a relaxed structure of ReOsRh (PBE-GGA).

Results
Fermi-level density of states = 2.532 states/eV/cell
total DFT energy (no corrections) = -10.333 eV/atom

Unit cell a=2.7385 b=2.7385 c=6.7189 alpha=90.00 beta=90.00 gamma=120.00
Space group P3m1 (No. 156)
One atom of each set of equivalent atoms:
1 Re 0.0000 0.0000 0.0000 x1
2 Os 0.3333 0.6667 0.6796 x1
3 Rh 0.6667 0.3333 0.3370 x1